1.
First-principles (GGA-PBE) data for RbCr2Bi2 after structural relaxation, as listed in Alexandria via LeMat-Bulk.

a = 5.2287 Å, b = 5.2287 Å, c = 5.9609 Å
α = 63.99°, β = 63.99°, γ = 90.00°
Last column: nearest neighbours and their distance in Å.
Fractional positions:
Cr  0.4039  0.4039  0.1922  1 Cr 1.80
Cr  0.5961  0.5961  0.8078  1 Cr 1.80
Bi  0.7500  0.2500  0.5000  4 Cr 2.98
Bi  0.2500  0.7500  0.5000  4 Cr 2.98
Rb  0.0000  0.0000  0.0000  8 Bi 3.51, 10 Cr 3.78-3.80

total energy = -25.62 eV/f.u.
size of the total moment = 0.000 μB per atom
theoretical density = 7.9 Mg/m³
symmetry = I4/mmm
offset from the most stable computed form = 0.0265 eV/atom
energy of formation = 0.47 eV per atom



2.
First-principles (GGA-PBE) data for RbCrBi3 after structural relaxation, as listed in Alexandria via LeMat-Bulk.

a = 5.5015 Å, b = 5.5015 Å, c = 5.5015 Å
α = 90.00°, β = 90.00°, γ = 90.00°
Last column: nearest neighbours and their distance in Å.
Fractional positions:
Rb  0.5000  0.5000  0.5000  12 Bi 3.89
Bi  0.5000  0.0000  0.0000  2 Cr 2.75
Bi  0.0000  0.0000  0.5000  2 Cr 2.75
Bi  0.0000  0.5000  0.0000  2 Cr 2.75
Cr  0.0000  0.0000  0.0000  6 Bi 2.75

total energy = -21.24 eV/f.u.
size of the total moment = 0.556 μB per atom
theoretical density = 7.6 Mg/m³
symmetry = Pm-3m
offset from the most stable computed form = 0.0000 eV/atom
energy of formation = 0.20 eV per atom



3.
First-principles (GGA-PBE) data for RbCr2BiS after structural relaxation, as listed in Alexandria via LeMat-Bulk.

a = 5.3714 Å, b = 5.8775 Å, c = 5.3714 Å
α = 90.00°, β = 90.00°, γ = 90.00°
Last column: nearest neighbours and their distance in Å.
Fractional positions:
Rb  0.5000  0.5000  0.5000  4 S 3.80, 8 Cr 3.98
Bi  0.0000  0.0000  0.0000  4 Cr 2.69, 2 S 2.94
Cr  0.5000  0.0000  0.0000  2 Bi 2.69
Cr  0.0000  0.0000  0.5000  2 Bi 2.69
S  0.0000  0.5000  0.0000  2 Bi 2.94

total energy = -25.01 eV/f.u.
formation energy (no corrections) = 0.6425 eV/atom
size of the total moment = 1.943 μB per atom
theoretical density = 4.2 Mg/m³
symmetry = P4/mmm
offset from the most stable computed form = 0.0000 eV/atom



4.
First-principles (GGA-PBE) data for RbCr2BiS after structural relaxation, as listed in Alexandria via LeMat-Bulk.

a = 5.2920 Å, b = 6.9601 Å, c = 5.2920 Å
α = 90.00°, β = 90.00°, γ = 90.00°
Last column: nearest neighbours and their distance in Å.
Fractional positions:
S  0.5000  0.5000  0.5000  4 Rb 3.74
Rb  0.0000  0.5000  0.0000  2 Bi 3.48, 4 S 3.74
Bi  0.0000  0.0000  0.0000  4 Cr 2.65
Cr  0.0000  0.0000  0.5000  2 Bi 2.65
Cr  0.5000  0.0000  0.0000  2 Bi 2.65

total energy = -23.93 eV/f.u.
formation energy (no corrections) = 0.8576 eV/atom
size of the total moment = 1.600 μB per atom
theoretical density = 3.7 Mg/m³
symmetry = P4/mmm
offset from the most stable computed form = 0.2151 eV/atom



5.
First-principles (GGA-PBE) data for RbCrBi2S after structural relaxation, as listed in Alexandria via LeMat-Bulk.

a = 6.0155 Å, b = 5.3851 Å, c = 6.0155 Å
α = 90.00°, β = 90.00°, γ = 90.00°
Last column: nearest neighbours and their distance in Å.
Fractional positions:
Rb  0.0000  0.0000  0.0000  2 S 2.69, 4 Bi 3.01
Bi  0.0000  0.0000  0.5000  2 Rb 3.01
Bi  0.5000  0.0000  0.0000  2 Rb 3.01
S  0.0000  0.5000  0.0000  2 Rb 2.69
Cr  0.5000  0.5000  0.5000  8 Bi 4.04, 4 S 4.25

total energy = -12.14 eV/f.u.
formation energy (no corrections) = 2.0673 eV/atom
size of the total moment = 0.078 μB per atom
theoretical density = 5.0 Mg/m³
symmetry = P4/mmm



6.
First-principles (GGA-PBE) data for RbCrBiSb2 after structural relaxation, as listed in Alexandria via LeMat-Bulk.

a = 5.9043 Å, b = 6.6205 Å, c = 5.9043 Å
α = 90.00°, β = 90.00°, γ = 90.00°
Last column: nearest neighbours and their distance in Å.
Fractional positions:
Rb  0.0000  0.5000  0.0000  2 Bi 3.31
Sb  0.5000  0.0000  0.0000  2 Bi 2.95
Sb  0.0000  0.0000  0.5000  2 Bi 2.95
Cr  0.5000  0.5000  0.5000  4 Rb 4.17, 8 Sb 4.44
Bi  0.0000  0.0000  0.0000  4 Sb 2.95

total energy = -17.78 eV/f.u.
formation energy (no corrections) = 0.9869 eV/atom
size of the total moment = 1.081 μB per atom
theoretical density = 4.2 Mg/m³
symmetry = P4/mmm



7.
First-principles (GGA-PBE) data for RbCrSi2Bi after structural relaxation, as listed in Alexandria via LeMat-Bulk.

a = 5.6525 Å, b = 5.3291 Å, c = 5.6525 Å
α = 90.00°, β = 90.00°, γ = 90.00°
Last column: nearest neighbours and their distance in Å.
Fractional positions:
Bi  0.0000  0.0000  0.0000  2 Cr 2.66, 4 Si 2.83
Cr  0.0000  0.5000  0.0000  2 Bi 2.66
Si  0.5000  0.0000  0.0000  2 Bi 2.83
Si  0.0000  0.0000  0.5000  2 Bi 2.83
Rb  0.5000  0.5000  0.5000  8 Si 3.88, 4 Cr 4.00

total energy = -19.94 eV/f.u.
formation energy (no corrections) = 1.0764 eV/atom
size of the total moment = 0.721 μB per atom
theoretical density = 3.9 Mg/m³
symmetry = P4/mmm



8.
First-principles (GGA-PBE) data for RbCr2TcBi after structural relaxation, as listed in Alexandria via LeMat-Bulk.

a = 4.8738 Å, b = 5.5216 Å, c = 4.8738 Å
α = 90.00°, β = 90.00°, γ = 90.00°
Last column: nearest neighbours and their distance in Å.
Fractional positions:
Bi  0.5000  0.5000  0.5000  4 Rb 3.45, 8 Cr 3.68
Tc  0.0000  0.0000  0.0000  4 Cr 2.44
Rb  0.0000  0.5000  0.0000  2 Tc 2.76
Cr  0.5000  0.0000  0.0000  2 Tc 2.44
Cr  0.0000  0.0000  0.5000  2 Tc 2.44

total energy = -27.77 eV/f.u.
size of the total moment = 1.106 μB per atom
theoretical density = 6.3 Mg/m³
symmetry = P4/mmm
energy of formation = 1.34 eV per atom